# CuTeSe (PBE-GGA, optimized geometry)
# Size of the total moment = 0.0000 μB per atom
# E_form (uncorrected) = 0.22 eV per atom
data_CuTeSe
_symmetry_space_group_name_H-M 'F -4 3 m'
_symmetry_Int_Tables_number 216
_symmetry_space_group_name_Hall 'F -4 2 3'
_cell_length_a 6.4750
_cell_length_b 6.4750
_cell_length_c 6.4750
_cell_angle_alpha 90.00
_cell_angle_beta 90.00
_cell_angle_gamma 90.00
loop_
_atom_site_label
_atom_site_fract_x
_atom_site_fract_y
_atom_site_fract_z
Cu1 0.0000 0.0000 0.0000
Te1 0.2500 0.2500 0.2500
Se1 0.2500 0.2500 0.7500